Computed, not measured: an optimized crystal structure of BeTePdO at the PBE-GGA level of DFT.

* volume: 18.8 Å³/atom
* calculated total energy: -43.3 eV for the cell shown
* energy above the lowest structure with this stoichiometry: 1.07 eV per formula unit

Unit cell a=3.022 b=3.022 c=16.437 alpha=90.00 beta=90.00 gamma=90.00
Space group P4/nmm (No. 129, origin choice 2)
Symmetry-distinct sites (fractional):
Be (0.250, 0.750, 0.000) (multiplicity 2)
Te (0.250, 0.250, 0.289) (multiplicity 2)
Pd (0.250, 0.250, 0.444) (multiplicity 2)
O (0.250, 0.250, 0.040) (multiplicity 2)

=====

Computed, not measured: an optimized crystal structure of RbSnHg3S4 at the PBE-GGA level of DFT.

* volume: 30.8 Å³/atom
* calculated total energy: -50.1 eV for the cell shown
* energy above the lowest structure with this stoichiometry: 0.00 eV per formula unit

Unit cell a=7.227 b=7.857 c=10.080 alpha=90.00 beta=104.40 gamma=90.00
Space group P2_1/m (No. 11)
Symmetry-distinct sites (fractional):
Rb (0.244, 0.250, 0.128) (multiplicity 2)
Sn (0.014, 0.750, 0.298) (multiplicity 2)
Hg (0.246, 0.539, 0.513) (multiplicity 4)
Hg (0.493, 0.250, 0.770) (multiplicity 2)
S (0.170, 0.750, 0.108) (multiplicity 2)
S (0.231, 0.017, 0.773) (multiplicity 4)
S (0.429, 0.250, 0.479) (multiplicity 2)

=====

Computed, not measured: an optimized crystal structure of NaBePbAu at the PBE-GGA level of DFT.

* volume: 20.4 Å³/atom
* calculated total energy: -43.7 eV for the cell shown
* energy above the lowest structure with this stoichiometry: 0.21 eV per formula unit

Unit cell a=6.888 b=6.888 c=6.888 alpha=90.00 beta=90.00 gamma=90.00
Space group F-43m (No. 216)
Symmetry-distinct sites (fractional):
Na (0.000, 0.000, 0.000) (multiplicity 4)
Be (0.250, 0.250, 0.250) (multiplicity 4)
Pb (0.000, 0.000, 0.500) (multiplicity 4)
Au (0.250, 0.250, 0.750) (multiplicity 4)

=====

Computed, not measured: an optimized crystal structure of DyErNi2B2N2 at the PBE-GGA level of DFT.

* volume: 11.3 Å³/atom
* calculated total energy: -59.2 eV for the cell shown
* spin magnetization: 0.008 μB per formula unit

Unit cell a=3.477 b=3.477 c=7.496 alpha=90.00 beta=90.00 gamma=90.00
Space group P4mm (No. 99)
Symmetry-distinct sites (fractional):
Dy (0.000, 0.000, 0.000) (multiplicity 1)
Er (0.500, 0.500, 0.665) (multiplicity 1)
Ni (0.000, 0.500, 0.333) (multiplicity 2)
B (0.000, 0.000, 0.494) (multiplicity 1)
B (0.500, 0.500, 0.170) (multiplicity 1)
N (0.000, 0.000, 0.688) (multiplicity 1)
N (0.500, 0.500, 0.975) (multiplicity 1)